This record from Alexandria describes a relaxed structure of K2GeAsSe4. The functional is PBE.

Properties
The symmetry is Imma (74). Its total moment is 0.0 μB/cell. As for the uncorrected formation energy: -0.482 eV per atom.

Lattice parameters (Å, degrees): 8.458 8.458 8.433 119.90 119.90 89.98
Atoms (fractional coordinates):
Se: 0.767 0.733 0.963
K: 0.000 0.000 0.500
K: 0.500 0.000 0.000
Se: 0.199 0.732 0.966
As: 0.000 0.500 0.000
Se: 0.232 0.699 0.466
Se: 0.233 0.267 0.463
K: 0.500 0.500 0.000
As: 0.000 0.500 0.500
Se: 0.233 0.267 0.037
Se: 0.801 0.268 0.034
Se: 0.768 0.301 0.534
Ge: 0.000 0.000 0.000
Se: 0.767 0.733 0.537
Ge: 0.500 0.500 0.500
K: 0.500 0.000 0.500


This record from Alexandria describes a relaxed structure of Tb4SnHgO. The functional is PBE.

Properties
The symmetry is Cmcm (63). Its total moment is 0.0 μB/cell. As for the uncorrected formation energy: -1.207 eV per atom.

Lattice parameters (Å, degrees): 6.544 6.545 8.842 90.00 111.72 90.00
Atoms (fractional coordinates):
Tb: 0.433 0.750 0.865
Tb: 0.000 0.500 0.500
Tb: 0.500 0.000 0.500
Tb: 0.500 0.500 0.500
O: 0.235 0.750 0.470
Tb: 0.567 0.250 0.135
Hg: 0.384 0.250 0.769
O: 0.765 0.250 0.530
Tb: 0.000 0.000 0.500
Tb: 0.083 0.750 0.166
Hg: 0.616 0.750 0.231
Sn: 0.890 0.750 0.781
Tb: 0.917 0.250 0.834
Sn: 0.110 0.250 0.219


This record from Alexandria describes a relaxed structure of Na3DyU2S6. The functional is PBE.

Properties
The symmetry is C2/m (12). Its total moment is 6.0 μB/cell. As for the uncorrected formation energy: -1.499 eV per atom.

Lattice parameters (Å, degrees): 6.878 6.878 7.120 99.26 99.26 120.00
Atoms (fractional coordinates):
Na: 0.166 0.834 0.500
Dy: 0.000 0.000 0.000
Na: 0.834 0.166 0.500
S: 0.590 0.923 0.770
U: 0.667 0.333 0.000
S: 0.923 0.590 0.770
U: 0.333 0.667 0.000
S: 0.743 0.743 0.230
Na: 0.500 0.500 0.500
S: 0.257 0.257 0.770
S: 0.077 0.410 0.230
S: 0.410 0.077 0.230


This record from Alexandria describes a relaxed structure of Co2SiAu. The functional is PBE.

Properties
The symmetry is P4mm (99). Its total moment is 2.6 μB/cell. As for the uncorrected formation energy: 0.082 eV per atom.

Lattice parameters (Å, degrees): 2.762 2.762 6.915 90.00 90.00 90.00
Atoms (fractional coordinates):
Co: 0.000 0.000 0.037
Si: 0.000 0.000 0.449
Co: 0.500 0.500 0.262
Au: 0.500 0.500 0.752


Question: The highest total moment belongs to which entry?
Answer: Na3DyU2S6


Question: uncorrected formation energy of number 4 (Co2SiAu)?
Answer: 0.082 eV per atom